{"formula": "Fe4ReSe", "functional": "GGA-PBE", "state": "optimized geometry", "lattice_angstrom": [[0.000, 3.383, 3.383], [3.383, 0.000, 3.383], [3.383, 3.383, 0.000]], "species": ["Fe", "Fe", "Fe", "Fe", "Re", "Se"], "frac_coords": [[0.124, 0.124, 0.124], [0.124, 0.124, 0.627], [0.124, 0.627, 0.124], [0.627, 0.124, 0.124], [0.750, 0.750, 0.750], [0.500, 0.500, 0.500]], "crystal_system": "cubic"}

{"formula": "FeReSe2", "functional": "GGA-PBE", "state": "optimized geometry", "lattice_angstrom": [[-1.926, 1.926, 4.198], [1.926, -1.926, 4.198], [1.926, 1.926, -4.198]], "species": ["Fe", "Re", "Se", "Se"], "frac_coords": [[0.000, 0.000, 0.000], [0.250, 0.750, 0.500], [0.500, 0.500, 0.000], [0.750, 0.250, 0.500]], "polymorph_energy_kj_per_mol_atoms": 79.8, "crystal_system": "tetragonal"}

Number 1: raw formation energy 479.6 meV/atom, total DFT energy (no corrections) -46.91 eV per cell. Number 2: raw formation energy 762.7 meV/atom, total DFT energy (no corrections) -24.83 eV per cell.